Entry 1:
Crystalline K2CdIn4Ag3 at its relaxed geometry, computed with GGA-PBE.

Lattice parameters (Å, degrees): 4.8693 4.8693 11.9041 90.00 90.00 90.00
Fractional positions:
In: 0.0000 0.5000 0.3660
In: 0.0000 0.0000 0.0000
In: 0.5000 0.0000 0.6340
In: 0.5000 0.5000 0.0000
K: 0.0000 0.5000 0.7495
K: 0.5000 0.0000 0.2505
Ag: 0.0000 0.0000 0.5000
Ag: 0.0000 0.5000 0.1311
Ag: 0.5000 0.0000 0.8689
Cd: 0.5000 0.5000 0.5000

E_form in eV per atom: -0.0592
Crystal system: tetragonal

Entry 2:
Crystalline La3ReNi at its relaxed geometry, computed with GGA-PBE.

Lattice parameters (Å, degrees): 5.4819 5.4819 5.4819 90.00 90.00 90.00
Fractional positions:
Re: 0.0000 0.0000 0.0000
La: 0.5000 0.0000 0.0000
La: 0.0000 0.0000 0.5000
La: 0.0000 0.5000 0.0000
Ni: 0.5000 0.5000 0.5000

E_form in eV per atom: 0.4884
Crystal system: cubic

Entry 3:
Crystalline Si4Pt at its relaxed geometry, computed with GGA-PBE.

Lattice parameters (Å, degrees): 5.6336 5.6336 5.6336 137.67 137.67 61.41
Fractional positions:
Si: 0.6149 0.6149 0.0000
Si: 0.3851 0.3851 0.0000
Si: 0.7500 0.2500 0.5000
Si: 0.2500 0.7500 0.5000
Pt: 0.0000 0.0000 0.0000

Formation energy from raw total energies in eV per atom: 0.44
Crystal system: tetragonal

Entry 4:
Crystalline SmThS3 at its relaxed geometry, computed with GGA-PBE.

Lattice parameters (Å, degrees): 7.2439 7.1806 7.1806 120.00 90.00 90.00
Fractional positions:
Th: 0.0000 0.6667 0.3333
Th: 0.5000 0.6667 0.3333
S: 0.2500 0.7499 0.6667
S: 0.7500 0.9168 0.6667
S: 0.7500 0.7499 0.0832
S: 0.7500 0.3333 0.2501
S: 0.2500 0.3333 0.0832
S: 0.2500 0.9168 0.2501
Sm: 0.0000 0.0000 0.0000
Sm: 0.5000 0.0000 0.0000

Formation energy from raw total energies in eV per atom: -1.91
Crystal system: hexagonal

Number 1: magnetic moment 0.00 μB/cell, uncorrected energy -2.3210 eV/atom. Number 2: magnetic moment 0.00 μB/cell, uncorrected energy -6.1140 eV/atom. Number 3: magnetic moment 0.00 μB/cell, uncorrected energy -5.1020 eV/atom. Number 4: magnetic moment 0.00 μB/cell, uncorrected energy -6.8122 eV/atom.